Entry 1:
! TcRh4Au, relaxed, DFT PBE-GGA; values from VASP
! Formation energy from the elements   0.393 eV per atom
! SG   F-43m (216)
! V   15.514 Å³ per atom
! E_tot   -40.690 eV/cell
&SYSTEM
  ibrav = 0, nat = 6, ntyp = 3
/
ATOMIC_SPECIES
Tc 98.00 Tc.upf
Rh 102.91 Rh.upf
Au 196.97 Au.upf
CELL_PARAMETERS angstrom
0.000 3.597 3.597
3.597 0.000 3.597
3.597 3.597 0.000
ATOMIC_POSITIONS crystal
Tc 0.250 0.250 0.250
Rh 0.125 0.625 0.625
Rh 0.625 0.125 0.625
Rh 0.625 0.625 0.125
Rh 0.625 0.625 0.625
Au 0.000 0.000 0.000


Entry 2:
! BiSb2As, relaxed, DFT PBE-GGA; values from VASP
! SG   R3m (160)
! V   31.687 Å³ per atom
! E_tot   -16.579 eV/cell
! Formation energy from raw total energies   49 meV per atom
! Relative energy among the computed polymorphs   0.0 kJ/mol of formula units
&SYSTEM
  ibrav = 0, nat = 4, ntyp = 3
/
ATOMIC_SPECIES
Sb 121.76 Sb.upf
As 74.92 As.upf
Bi 208.98 Bi.upf
CELL_PARAMETERS angstrom
-1.212 3.524 -1.939
-1.636 -0.185 -3.865
-8.534 0.292 1.314
ATOMIC_POSITIONS crystal
Sb 0.082 0.082 0.754
Sb 0.272 0.272 0.183
As 0.661 0.661 0.016
Bi 0.485 0.485 0.546


Entry 3:
! Sr2OF, relaxed, DFT PBE-GGA; values from VASP
! SG   R3m (160)
! V   25.545 Å³ per atom
! E_tot   -20.678 eV/cell
! Formation energy from raw total energies   -2621 meV per atom
! Relative energy among the computed polymorphs   0.0 kJ/mol of formula units
&SYSTEM
  ibrav = 0, nat = 4, ntyp = 3
/
ATOMIC_SPECIES
Sr 87.62 Sr.upf
O 16.00 O.upf
F 19.00 F.upf
CELL_PARAMETERS angstrom
3.924 0.000 0.000
1.962 3.399 0.000
1.962 1.133 7.662
ATOMIC_POSITIONS crystal
Sr 0.085 0.085 0.746
Sr 0.292 0.292 0.125
O 0.678 0.678 0.965
F 0.445 0.445 0.664


Entry 4:
! CeScSi2, relaxed, DFT PBE-GGA; values from VASP
! SG   R-3m (166)
! V   21.545 Å³ per atom
! E_tot   -25.244 eV/cell
! Formation energy from raw total energies   -533 meV per atom
! Relative energy among the computed polymorphs   59.4 kJ/mol of formula units
&SYSTEM
  ibrav = 0, nat = 4, ntyp = 3
/
ATOMIC_SPECIES
Ce 140.12 Ce.upf
Sc 44.96 Sc.upf
Si 28.09 Si.upf
CELL_PARAMETERS angstrom
4.442 0.000 0.000
2.221 3.847 0.000
2.221 1.282 5.043
ATOMIC_POSITIONS crystal
Ce 0.500 0.500 0.500
Sc 0.000 0.000 0.000
Si 0.734 0.734 0.798
Si 0.266 0.266 0.202


Entry 5:
! Pr2SmTl2Ag2, relaxed, DFT PBE-GGA; values from VASP
! Formation energy from the elements   -0.206 eV per atom
! SG   R-3m (166)
! V   28.035 Å³ per atom
! E_tot   -26.158 eV/cell
&SYSTEM
  ibrav = 0, nat = 7, ntyp = 4
/
ATOMIC_SPECIES
Tl 204.38 Tl.upf
Ag 107.87 Ag.upf
Sm 150.36 Sm.upf
Pr 140.91 Pr.upf
CELL_PARAMETERS angstrom
4.955 0.000 0.000
2.477 4.291 0.000
2.477 1.430 9.230
ATOMIC_POSITIONS crystal
Tl 0.263 0.263 0.210
Tl 0.737 0.737 0.790
Ag 0.607 0.607 0.178
Ag 0.393 0.393 0.822
Sm 0.000 0.000 0.000
Pr 0.875 0.875 0.374
Pr 0.125 0.125 0.626


Entry 6:
! Sr2NiW, relaxed, DFT PBE-GGA; values from VASP
! Formation energy from the elements   1.155 eV per atom
! SG   R-3m (166)
! V   23.079 Å³ per atom
! E_tot   -17.479 eV/cell
! Relative energy among the computed polymorphs   214.3 kJ/mol of formula units
&SYSTEM
  ibrav = 0, nat = 4, ntyp = 3
/
ATOMIC_SPECIES
W 183.84 W.upf
Sr 87.62 Sr.upf
Ni 58.69 Ni.upf
CELL_PARAMETERS angstrom
-8.959 -3.375 3.217
-8.927 -4.718 0.227
-7.454 -6.245 2.726
ATOMIC_POSITIONS crystal
W 0.250 0.250 0.250
Sr 0.007 0.007 0.007
Sr 0.493 0.493 0.493
Ni 0.750 0.750 0.750


Entry 7:
! LaPbAu, relaxed, DFT PBE-GGA; values from VASP
! Formation energy from the elements   -0.402 eV per atom
! SG   P6_3/mmc (194)
! V   27.826 Å³ per atom
! E_tot   -26.241 eV/cell
&SYSTEM
  ibrav = 0, nat = 6, ntyp = 3
/
ATOMIC_SPECIES
Pb 207.20 Pb.upf
Au 196.97 Au.upf
La 138.91 La.upf
CELL_PARAMETERS angstrom
4.683 -2.704 0.000
0.000 5.407 0.000
0.000 0.000 6.594
ATOMIC_POSITIONS crystal
Pb 0.333 0.667 0.750
Pb 0.667 0.333 0.250
Au 0.000 0.000 0.500
Au 0.000 0.000 0.000
La 0.333 0.667 0.250
La 0.667 0.333 0.750


Entry 8:
! SrFe2Br, relaxed, DFT PBE-GGA; values from VASP
! SG   I4_1/amd (141)
! V   24.923 Å³ per atom
! E_tot   -37.091 eV/cell
! Formation energy from raw total energies   434 meV per atom
! Relative energy among the computed polymorphs   152.4 kJ/mol of formula units
&SYSTEM
  ibrav = 0, nat = 8, ntyp = 3
/
ATOMIC_SPECIES
Fe 55.84 Fe.upf
Sr 87.62 Sr.upf
Br 79.90 Br.upf
CELL_PARAMETERS angstrom
-1.317 3.493 2.667
-3.867 0.401 -2.435
-6.901 -4.140 5.958
ATOMIC_POSITIONS crystal
Fe 0.375 0.625 0.750
Fe 0.375 0.625 0.250
Fe 0.375 0.125 0.250
Fe 0.875 0.625 0.750
Sr 0.750 0.250 0.500
Sr 0.000 0.000 0.000
Br 0.500 0.500 0.000
Br 0.250 0.750 0.500


Entry 9:
! LiVRu2Rh, relaxed, DFT PBE-GGA; values from VASP
! Formation energy from the elements   1.425 eV per atom
! SG   P4/mmm (123)
! V   17.742 Å³ per atom
! E_tot   -29.812 eV/cell
&SYSTEM
  ibrav = 0, nat = 5, ntyp = 4
/
ATOMIC_SPECIES
V 50.94 V.upf
Ru 101.07 Ru.upf
Li 6.94 Li.upf
Rh 102.91 Rh.upf
CELL_PARAMETERS angstrom
4.636 0.000 0.000
0.000 4.127 0.000
0.000 0.000 4.636
ATOMIC_POSITIONS crystal
V 0.500 0.500 0.500
Ru 0.000 0.000 0.500
Ru 0.500 0.000 0.000
Li 0.000 0.500 0.000
Rh 0.000 0.000 0.000


Entry 10:
! Al2TcCl, relaxed, DFT PBE-GGA; values from VASP
! SG   P4mm (99)
! V   17.281 Å³ per atom
! E_tot   -19.136 eV/cell
! Formation energy from raw total energies   140 meV per atom
! Relative energy among the computed polymorphs   217.3 kJ/mol of formula units
&SYSTEM
  ibrav = 0, nat = 4, ntyp = 3
/
ATOMIC_SPECIES
Cl 35.45 Cl.upf
Al 26.98 Al.upf
Tc 98.00 Tc.upf
CELL_PARAMETERS angstrom
2.992 0.000 0.000
0.000 2.992 0.000
0.000 0.000 7.723
ATOMIC_POSITIONS crystal
Cl 0.000 0.000 0.556
Al 0.500 0.500 0.207
Al 0.000 0.000 0.967
Tc 0.500 0.500 0.769


Entry 11:
! K4Pr3YSe8, relaxed, DFT PBE-GGA; values from VASP
! SG   R-3m (166)
! V   31.455 Å³ per atom
! E_tot   -81.103 eV/cell
! Formation energy from raw total energies   -1752 meV per atom
&SYSTEM
  ibrav = 0, nat = 16, ntyp = 4
/
ATOMIC_SPECIES
Se 78.96 Se.upf
Pr 140.91 Pr.upf
Y 88.91 Y.upf
K 39.10 K.upf
CELL_PARAMETERS angstrom
-2.151 -7.307 4.167
8.756 -1.100 2.592
-3.961 7.463 1.997
ATOMIC_POSITIONS crystal
Se 0.255 0.291 0.023
Se 0.745 0.709 0.977
Se 0.768 0.291 0.023
Se 0.738 0.714 0.476
Se 0.262 0.286 0.524
Se 0.232 0.709 0.977
Se 0.232 0.710 0.465
Se 0.768 0.290 0.535
Pr 0.500 0.500 0.500
Pr 0.000 0.500 0.500
Pr 0.500 0.500 0.000
Y 0.000 0.500 0.000
K 0.500 0.000 0.500
K 0.000 0.000 0.000
K 0.500 0.000 0.000
K 0.000 0.000 0.500


Entry 12:
! ScCu2Pb, relaxed, DFT PBE-GGA; values from VASP
! Formation energy from the elements   -0.015 eV per atom
! SG   C2/m (12)
! V   19.173 Å³ per atom
! E_tot   -18.293 eV/cell
&SYSTEM
  ibrav = 0, nat = 4, ntyp = 3
/
ATOMIC_SPECIES
Cu 63.55 Cu.upf
Sc 44.96 Sc.upf
Pb 207.20 Pb.upf
CELL_PARAMETERS angstrom
-3.435 3.349 0.185
-3.203 1.771 3.107
2.744 3.976 1.930
ATOMIC_POSITIONS crystal
Cu 0.510 0.510 0.441
Cu 0.990 0.990 0.059
Sc 0.250 0.250 0.250
Pb 0.750 0.750 0.750


Entry 13:
! KNb2V, relaxed, DFT PBE-GGA; values from VASP
! Formation energy from the elements   1.442 eV per atom
! SG   Fm-3m (225)
! V   19.328 Å³ per atom
! E_tot   -24.589 eV/cell
! Relative energy among the computed polymorphs   0.0 kJ/mol of formula units
&SYSTEM
  ibrav = 0, nat = 4, ntyp = 3
/
ATOMIC_SPECIES
Nb 92.91 Nb.upf
V 50.94 V.upf
K 39.10 K.upf
CELL_PARAMETERS angstrom
-0.362 -1.646 4.475
-2.698 -3.838 0.925
2.066 -4.142 1.198
ATOMIC_POSITIONS crystal
Nb 0.250 0.250 0.250
Nb 0.750 0.750 0.750
V 0.500 0.500 0.500
K 0.000 0.000 0.000


Entry 14:
! Pm7Y2Er3, relaxed, DFT PBE-GGA; values from VASP
! Formation energy from the elements   0.070 eV per atom
! SG   P2/m (10)
! V   33.244 Å³ per atom
! E_tot   -59.032 eV/cell
! Relative energy among the computed polymorphs   0.0 kJ/mol of formula units
&SYSTEM
  ibrav = 0, nat = 12, ntyp = 3
/
ATOMIC_SPECIES
Pm 145.00 Pm.upf
Er 167.26 Er.upf
Y 88.91 Y.upf
CELL_PARAMETERS angstrom
3.555 0.000 0.000
0.000 6.384 0.815
0.000 2.378 17.881
ATOMIC_POSITIONS crystal
Pm 0.500 0.945 0.829
Pm 0.000 0.442 0.834
Pm 0.500 0.237 0.504
Pm 0.000 0.558 0.166
Pm 0.000 0.000 0.000
Pm 0.500 0.055 0.171
Pm 0.500 0.763 0.496
Er 0.000 0.888 0.659
Er 0.500 0.500 0.000
Er 0.000 0.112 0.341
Y 0.500 0.389 0.670
Y 0.500 0.611 0.330


Entry 15:
! GdPdPtRh, relaxed, DFT PBE-GGA; values from VASP
! Formation energy from the elements   -0.567 eV per atom
! SG   F-43m (216)
! V   17.794 Å³ per atom
! E_tot   -34.935 eV/cell
&SYSTEM
  ibrav = 0, nat = 4, ntyp = 4
/
ATOMIC_SPECIES
Pt 195.08 Pt.upf
Pd 106.42 Pd.upf
Rh 102.91 Rh.upf
Gd 157.25 Gd.upf
CELL_PARAMETERS angstrom
-0.919 4.016 -2.160
-2.946 3.049 1.914
1.605 4.001 1.748
ATOMIC_POSITIONS crystal
Pt 0.250 0.250 0.250
Pd 0.500 0.500 0.500
Rh 0.000 0.000 0.000
Gd 0.750 0.750 0.750


Entry 16:
! MgPdSe, relaxed, DFT PBE-GGA; values from VASP
! SG   P1 (1)
! V   20.096 Å³ per atom
! E_tot   -24.283 eV/cell
! Formation energy from raw total energies   -623 meV per atom
&SYSTEM
  ibrav = 0, nat = 6, ntyp = 3
/
ATOMIC_SPECIES
Se 78.96 Se.upf
Mg 24.30 Mg.upf
Pd 106.42 Pd.upf
CELL_PARAMETERS angstrom
-0.369 4.300 -1.825
-2.596 -0.783 -3.923
-4.499 0.104 3.313
ATOMIC_POSITIONS crystal
Se 0.918 0.493 0.157
Se 0.594 0.045 0.578
Mg 0.852 0.490 0.656
Mg 0.217 0.931 0.174
Pd 0.146 0.924 0.681
Pd 0.389 0.377 0.943


Entry 17:
! CeTmGa2Pt5, relaxed, DFT PBE-GGA; values from VASP
! Formation energy from the elements   -0.900 eV per atom
! SG   P4/mmm (123)
! V   18.286 Å³ per atom
! E_tot   -54.766 eV/cell
&SYSTEM
  ibrav = 0, nat = 9, ntyp = 4
/
ATOMIC_SPECIES
Ce 140.12 Ce.upf
Pt 195.08 Pt.upf
Tm 168.93 Tm.upf
Ga 69.72 Ga.upf
CELL_PARAMETERS angstrom
4.204 0.000 0.000
0.000 4.204 0.000
0.000 0.000 9.314
ATOMIC_POSITIONS crystal
Ce 0.000 0.000 0.500
Pt 0.000 0.500 0.725
Pt 0.000 0.500 0.275
Pt 0.500 0.500 0.500
Pt 0.500 0.000 0.275
Pt 0.500 0.000 0.725
Tm 0.000 0.000 0.000
Ga 0.500 0.500 0.129
Ga 0.500 0.500 0.871


Entry 18:
! BaSrSbBr, relaxed, DFT PBE-GGA; values from VASP
! SG   R3m (160)
! V   40.674 Å³ per atom
! E_tot   -15.309 eV/cell
! Formation energy from raw total energies   -1477 meV per atom
&SYSTEM
  ibrav = 0, nat = 4, ntyp = 4
/
ATOMIC_SPECIES
Sb 121.76 Sb.upf
Sr 87.62 Sr.upf
Ba 137.33 Ba.upf
Br 79.90 Br.upf
CELL_PARAMETERS angstrom
-1.384 0.034 4.725
-3.826 -2.730 1.464
3.045 -6.826 3.506
ATOMIC_POSITIONS crystal
Sb 0.189 0.189 0.432
Sr 0.452 0.452 0.643
Ba 0.937 0.937 0.189
Br 0.698 0.698 0.907


Entry 19:
! Dy8Ni2Sn, relaxed, DFT PBE-GGA; values from VASP
! Formation energy from the elements   -0.229 eV per atom
! SG   C2/m (12)
! V   26.803 Å³ per atom
! E_tot   -54.896 eV/cell
&SYSTEM
  ibrav = 0, nat = 11, ntyp = 3
/
ATOMIC_SPECIES
Dy 162.50 Dy.upf
Sn 118.71 Sn.upf
Ni 58.69 Ni.upf
CELL_PARAMETERS angstrom
-2.397 4.600 1.175
-4.332 -4.674 4.689
7.141 1.758 2.917
ATOMIC_POSITIONS crystal
Dy 0.424 0.927 0.672
Dy 0.424 0.672 0.927
Dy 0.000 0.252 0.755
Dy 0.197 0.396 0.396
Dy 0.576 0.079 0.334
Dy 0.803 0.610 0.610
Dy 0.000 0.755 0.252
Dy 0.576 0.334 0.079
Sn 0.000 0.003 0.003
Ni 0.500 0.699 0.307
Ni 0.500 0.307 0.699


Entry 20:
! ZrOs2Ru, relaxed, DFT PBE-GGA; values from VASP
! Formation energy from the elements   0.218 eV per atom
! SG   P4/mmm (123)
! V   16.254 Å³ per atom
! E_tot   -39.413 eV/cell
! Relative energy among the computed polymorphs   105.9 kJ/mol of formula units
&SYSTEM
  ibrav = 0, nat = 4, ntyp = 3
/
ATOMIC_SPECIES
Zr 91.22 Zr.upf
Os 190.23 Os.upf
Ru 101.07 Ru.upf
CELL_PARAMETERS angstrom
3.292 0.000 0.000
0.000 3.292 0.000
0.000 0.000 5.998
ATOMIC_POSITIONS crystal
Zr 0.500 0.500 0.750
Os 0.000 0.000 0.025
Os 0.000 0.000 0.475
Ru 0.500 0.500 0.250


Entry 21:
! ZnBiIr, relaxed, DFT PBE-GGA; values from VASP
! Formation energy from the elements   0.082 eV per atom
! SG   C2/m (12)
! V   19.744 Å³ per atom
! E_tot   -27.537 eV/cell
! Relative energy among the computed polymorphs   37.6 kJ/mol of formula units
&SYSTEM
  ibrav = 0, nat = 6, ntyp = 3
/
ATOMIC_SPECIES
Ir 192.22 Ir.upf
Bi 208.98 Bi.upf
Zn 65.41 Zn.upf
CELL_PARAMETERS angstrom
-0.036 2.806 3.569
-6.040 -0.045 -0.025
0.993 -4.792 0.889
ATOMIC_POSITIONS crystal
Ir 0.220 0.819 0.441
Ir 0.780 0.181 0.559
Bi 0.869 0.675 0.738
Bi 0.131 0.325 0.262
Zn 0.564 0.825 0.127
Zn 0.436 0.175 0.873


Entry 22:
! Er3As2P, relaxed, DFT PBE-GGA; values from VASP
! Formation energy from the elements   -1.549 eV per atom
! SG   Fddd (70)
! V   23.384 Å³ per atom
! E_tot   -150.762 eV/cell
&SYSTEM
  ibrav = 0, nat = 24, ntyp = 3
/
ATOMIC_SPECIES
Er 167.26 Er.upf
As 74.92 As.upf
P 30.97 P.upf
CELL_PARAMETERS angstrom
-5.505 1.588 -4.032
0.297 -6.939 0.921
-4.345 3.690 11.442
ATOMIC_POSITIONS crystal
Er 0.494 0.994 0.500
Er 0.166 0.671 0.831
Er 0.084 0.079 0.669
Er 0.756 0.756 0.000
Er 0.410 0.415 0.331
Er 0.921 0.916 0.331
Er 0.585 0.590 0.669
Er 0.244 0.244 0.000
Er 0.329 0.834 0.169
Er 0.840 0.335 0.169
Er 0.665 0.160 0.831
Er 0.006 0.506 0.500
As 0.250 0.250 0.501
As 0.667 0.167 0.334
As 0.750 0.750 0.499
As 0.583 0.583 0.166
As 0.417 0.417 0.834
As 0.000 0.500 0.999
As 0.500 0.000 0.001
As 0.833 0.333 0.666
P 0.167 0.667 0.333
P 0.083 0.083 0.167
P 0.333 0.833 0.667
P 0.917 0.917 0.833


Entry 23:
! SrTeMo3, relaxed, DFT PBE-GGA; values from VASP
! SG   Pm-3m (221)
! V   25.315 Å³ per atom
! E_tot   -30.051 eV/cell
! Formation energy from raw total energies   1453 meV per atom
! Relative energy among the computed polymorphs   0.0 kJ/mol of formula units
&SYSTEM
  ibrav = 0, nat = 5, ntyp = 3
/
ATOMIC_SPECIES
Mo 95.94 Mo.upf
Te 127.60 Te.upf
Sr 87.62 Sr.upf
CELL_PARAMETERS angstrom
5.021 0.000 0.000
0.000 5.021 0.000
0.000 0.000 5.021
ATOMIC_POSITIONS crystal
Mo 0.000 0.500 0.000
Mo 0.500 0.000 0.000
Mo 0.000 0.000 0.500
Te 0.000 0.000 0.000
Sr 0.500 0.500 0.500


Entry 24:
! CrSiTe4, relaxed, DFT PBE-GGA; values from VASP
! SG   F-43m (216)
! V   29.207 Å³ per atom
! E_tot   -21.850 eV/cell
! Formation energy from raw total energies   961 meV per atom
! Relative energy among the computed polymorphs   604.3 kJ/mol of formula units
&SYSTEM
  ibrav = 0, nat = 6, ntyp = 3
/
ATOMIC_SPECIES
Cr 52.00 Cr.upf
Te 127.60 Te.upf
Si 28.09 Si.upf
CELL_PARAMETERS angstrom
0.000 4.442 4.442
4.442 0.000 4.442
4.442 4.442 0.000
ATOMIC_POSITIONS crystal
Cr 0.750 0.750 0.750
Te 0.375 0.375 0.375
Te 0.875 0.375 0.375
Te 0.375 0.875 0.375
Te 0.375 0.375 0.875
Si 0.000 0.000 0.000


Entry 25:
! K3GeSe4, relaxed, DFT PBE-GGA; values from VASP
! SG   Pnma (62)
! V   32.840 Å³ per atom
! E_tot   -114.294 eV/cell
! Formation energy from raw total energies   -841 meV per atom
! Relative energy among the computed polymorphs   0.0 kJ/mol of formula units
&SYSTEM
  ibrav = 0, nat = 32, ntyp = 3
/
ATOMIC_SPECIES
Se 78.96 Se.upf
Ge 72.64 Ge.upf
K 39.10 K.upf
CELL_PARAMETERS angstrom
-6.266 2.485 6.469
-7.568 -1.611 -6.712
-0.719 -10.443 3.316
ATOMIC_POSITIONS crystal
Se 0.141 0.964 0.937
Se 0.859 0.036 0.063
Se 0.359 0.464 0.437
Se 0.141 0.964 0.563
Se 0.803 0.240 0.750
Se 0.697 0.740 0.250
Se 0.469 0.905 0.750
Se 0.969 0.595 0.750
Se 0.859 0.036 0.437
Se 0.303 0.260 0.750
Se 0.359 0.464 0.063
Se 0.641 0.536 0.937
Se 0.031 0.405 0.250
Se 0.641 0.536 0.563
Se 0.531 0.095 0.250
Se 0.197 0.760 0.250
Ge 0.255 0.034 0.750
Ge 0.745 0.966 0.250
Ge 0.245 0.534 0.250
Ge 0.755 0.466 0.750
K 0.449 0.805 0.453
K 0.846 0.916 0.750
K 0.051 0.305 0.953
K 0.551 0.195 0.953
K 0.949 0.695 0.453
K 0.949 0.695 0.047
K 0.654 0.416 0.250
K 0.154 0.084 0.250
K 0.449 0.805 0.047
K 0.346 0.584 0.750
K 0.551 0.195 0.547
K 0.051 0.305 0.547